Entry from Alexandria: a relaxed structure of Pu2InAg (PBE-GGA).

Summary:
- N(E_F) (states/eV/f.u.) = 13.8
- ΔH_f (0 K) (eV per atom) = 0.003
- space-group type = No. 123
- size of the total moment (μB per atom) = 2.99
- raw total energy (eV per cell) = -34.24

Cell lengths 5.7450, 5.7450, 3.0758 Å; angles 90.00, 90.00, 90.00 degrees
Element x y z (fractional)
Pu (0.0000, 0.5000, 0.0000)
Pu (0.5000, 0.0000, 0.0000)
In (0.0000, 0.0000, 0.5000)
Ag (0.5000, 0.5000, 0.5000)

=====

Entry from Alexandria: a relaxed structure of BaZr2Pt (PBE-GGA).

Summary:
- E above lowest polymorph (meV/atom) = 99
- N(E_F) (states/eV/f.u.) = 1.3
- ΔH_f (0 K) (eV per atom) = -0.187
- space-group type = No. 160
- size of the total moment (μB per atom) = 0.00
- raw total energy (eV per cell) = -25.81

Cell lengths 7.6598, 7.6598, 7.6598 Å; angles 33.44, 33.44, 33.44 degrees
Element x y z (fractional)
Ba (0.0000, 0.0000, 0.0000)
Zr (0.5480, 0.5480, 0.5480)
Zr (0.7901, 0.7901, 0.7901)
Pt (0.1726, 0.1726, 0.1726)

=====

Entry from Alexandria: a relaxed structure of Na2MgGa (PBE-GGA).

Summary:
- N(E_F) (states/eV/f.u.) = 2.1
- ΔH_f (0 K) (eV per atom) = 0.107
- space-group type = No. 225
- size of the total moment (μB per atom) = 0.00
- raw total energy (eV per cell) = -6.83

Cell lengths 5.2295, 5.2295, 5.2295 Å; angles 60.00, 60.00, 60.00 degrees
Element x y z (fractional)
Na (0.2500, 0.2500, 0.2500)
Na (0.7500, 0.7500, 0.7500)
Mg (0.0000, 0.0000, 0.0000)
Ga (0.5000, 0.5000, 0.5000)

=====

Entry from Alexandria: a relaxed structure of AcEr3Tm (PBE-GGA).

Summary:
- N(E_F) (states/eV/f.u.) = 8.1
- ΔH_f (0 K) (eV per atom) = 0.165
- space-group type = No. 12
- size of the total moment (μB per atom) = 0.00
- raw total energy (eV per cell) = -42.89

Cell lengths 9.3789, 9.3789, 8.5433 Å; angles 111.25, 111.25, 29.95 degrees
Element x y z (fractional)
Ac (0.1153, 0.1153, 0.1479)
Ac (0.8847, 0.8847, 0.8521)
Er (0.0566, 0.0566, 0.6973)
Er (0.2270, 0.2270, 0.6279)
Er (0.4149, 0.4149, 0.5519)
Er (0.5851, 0.5851, 0.4481)
Er (0.7730, 0.7730, 0.3721)
Er (0.9434, 0.9434, 0.3027)
Tm (0.3120, 0.3120, 0.1116)
Tm (0.6880, 0.6880, 0.8884)

=====

Entry from Alexandria: a relaxed structure of K2ZrAs (PBE-GGA).

Summary:
- N(E_F) (states/eV/f.u.) = 3.1
- ΔH_f (0 K) (eV per atom) = 0.395
- space-group type = No. 12
- size of the total moment (μB per atom) = 0.37
- raw total energy (eV per cell) = -13.81

Cell lengths 6.7500, 6.7500, 3.3680 Å; angles 96.12, 96.12, 129.17 degrees
Element x y z (fractional)
K (0.0000, 0.5000, 0.0000)
K (0.5000, 0.0000, 0.0000)
Zr (0.0000, 0.0000, 0.5000)
As (0.5000, 0.5000, 0.5000)

=====

Entry from Alexandria: a relaxed structure of KMgPbW2 (PBE-GGA).

Summary:
- N(E_F) (states/eV/f.u.) = 5.4
- ΔH_f (0 K) (eV per atom) = 2.179
- space-group type = No. 123
- size of the total moment (μB per atom) = 1.27
- raw total energy (eV per cell) = -21.41

Cell lengths 5.1458, 5.1458, 5.4181 Å; angles 90.00, 90.00, 90.00 degrees
Element x y z (fractional)
K (0.0000, 0.0000, 0.0000)
Mg (0.5000, 0.5000, 0.5000)
Pb (0.5000, 0.5000, 0.0000)
W (0.0000, 0.5000, 0.5000)
W (0.5000, 0.0000, 0.5000)

=====

Entry from Alexandria: a relaxed structure of AcNdInN3 (PBE-GGA).

Summary:
- space-group type = No. 11
- size of the total moment (μB per atom) = 0.00
- raw total energy (eV per cell) = -82.48
- formation energy (no corrections) (kJ/mol of formula units) = -448

Cell lengths 6.1906, 3.6101, 9.1689 Å; angles 90.00, 98.34, 90.00 degrees
Element x y z (fractional)
Ac (0.1693, 0.2500, 0.1886)
Ac (0.8307, 0.7500, 0.8114)
Nd (0.2592, 0.7500, 0.5494)
Nd (0.7408, 0.2500, 0.4506)
In (0.3426, 0.2500, 0.8522)
In (0.6574, 0.7500, 0.1478)
N (0.0407, 0.2500, 0.6600)
N (0.2545, 0.7500, 0.9761)
N (0.4610, 0.7500, 0.3336)
N (0.5390, 0.2500, 0.6664)
N (0.7455, 0.2500, 0.0239)
N (0.9593, 0.7500, 0.3400)

=====

Entry from Alexandria: a relaxed structure of ReCS2 (PBE-GGA).

Summary:
- N(E_F) (states/eV/f.u.) = 2.8
- space-group type = No. 166
- size of the total moment (μB per atom) = 0.00
- raw total energy (eV per cell) = -26.41
- formation energy (no corrections) (kJ/mol of formula units) = 339

Cell lengths 6.4797, 6.4797, 6.4797 Å; angles 29.49, 29.49, 29.49 degrees
Element x y z (fractional)
Re (0.0000, 0.0000, 0.0000)
C (0.5000, 0.5000, 0.5000)
S (0.4144, 0.4144, 0.4144)
S (0.5856, 0.5856, 0.5856)

=====

Entry from Alexandria: a relaxed structure of ZrMn3Cl (PBE-GGA).

Summary:
- E above lowest polymorph (meV/atom) = 758
- N(E_F) (states/eV/f.u.) = 5.7
- space-group type = No. 221
- size of the total moment (μB per atom) = 2.36
- raw total energy (eV per cell) = -31.11
- formation energy (no corrections) (kJ/mol of formula units) = 656

Cell lengths 5.1283, 5.1283, 5.1283 Å; angles 90.00, 90.00, 90.00 degrees
Element x y z (fractional)
Zr (0.0000, 0.0000, 0.0000)
Mn (0.0000, 0.0000, 0.5000)
Mn (0.0000, 0.5000, 0.0000)
Mn (0.5000, 0.0000, 0.0000)
Cl (0.5000, 0.5000, 0.5000)

=====

Entry from Alexandria: a relaxed structure of NdTc3P2 (PBE-GGA).

Summary:
- N(E_F) (states/eV/f.u.) = 4.9
- ΔH_f (0 K) (eV per atom) = -0.626
- space-group type = No. 12
- size of the total moment (μB per atom) = 0.00
- raw total energy (eV per cell) = -151.32

Cell lengths 8.1883, 8.1883, 9.5258 Å; angles 105.31, 105.31, 28.87 degrees
Element x y z (fractional)
Nd (0.0000, 0.0000, 0.0000)
Nd (0.1609, 0.1609, 0.7109)
Nd (0.8391, 0.8391, 0.2891)
Tc (0.0380, 0.0380, 0.3636)
Tc (0.2074, 0.2074, 0.3879)
Tc (0.3215, 0.3215, 0.0177)
Tc (0.3811, 0.3811, 0.7946)
Tc (0.5000, 0.5000, 0.5000)
Tc (0.6189, 0.6189, 0.2054)
Tc (0.6785, 0.6785, 0.9823)
Tc (0.7926, 0.7926, 0.6121)
Tc (0.9620, 0.9620, 0.6364)
P (0.1997, 0.1997, 0.1314)
P (0.3517, 0.3517, 0.5365)
P (0.4619, 0.4619, 0.2113)
P (0.5381, 0.5381, 0.7887)
P (0.6483, 0.6483, 0.4635)
P (0.8003, 0.8003, 0.8686)

=====

Entry from Alexandria: a relaxed structure of Ti3TlHg (PBE-GGA).

Summary:
- E above lowest polymorph (meV/atom) = 233
- N(E_F) (states/eV/f.u.) = 7.3
- ΔH_f (0 K) (eV per atom) = 1.177
- space-group type = No. 221
- size of the total moment (μB per atom) = 0.63
- raw total energy (eV per cell) = -20.47

Cell lengths 5.0904, 5.0904, 5.0904 Å; angles 90.00, 90.00, 90.00 degrees
Element x y z (fractional)
Ti (0.0000, 0.0000, 0.5000)
Ti (0.0000, 0.5000, 0.0000)
Ti (0.5000, 0.0000, 0.0000)
Tl (0.0000, 0.0000, 0.0000)
Hg (0.5000, 0.5000, 0.5000)

=====

Entry from Alexandria: a relaxed structure of Be2TcAg (PBE-GGA).

Summary:
- E above lowest polymorph (meV/atom) = 50
- N(E_F) (states/eV/f.u.) = 2.4
- ΔH_f (0 K) (eV per atom) = 0.119
- space-group type = No. 6
- size of the total moment (μB per atom) = 0.00
- raw total energy (eV per cell) = -20.19

Cell lengths 2.7590, 3.9068, 4.6535 Å; angles 90.00, 106.96, 90.00 degrees
Element x y z (fractional)
Be (0.0000, 0.0000, 0.0000)
Be (0.1559, 0.5000, 0.3211)
Tc (0.7220, 0.0000, 0.4532)
Ag (0.4255, 0.5000, 0.8545)